(1)
{
  "formula": "Sc2ZnAu3",
  "functional": "PBE",
  "state": "relaxed",
  "density_g_cm3": 11.116,
  "e_form_ev_per_atom": -0.670,
  "e_tot_ev_per_atom": -4.63,
  "space_group": "P-3m1 (164)",
  "magnetic_moment_mub_per_atom": 0.000,
  "lattice_angstrom": [[4.718, 0.000, 0.000], [-2.359, 4.086, 0.000], [0.000, 0.000, 11.564]],
  "species": ["Sc", "Sc", "Sc", "Sc", "Zn", "Zn", "Au", "Au", "Au", "Au", "Au", "Au"],
  "fractional_positions": [[0.000, 0.000, 0.000], [0.000, 0.000, 0.500], [0.333, 0.667, 0.181], [0.667, 0.333, 0.819], [0.333, 0.667, 0.668], [0.667, 0.333, 0.332], [0.000, 0.000, 0.249], [0.000, 0.000, 0.751], [0.333, 0.667, 0.424], [0.333, 0.667, 0.926], [0.667, 0.333, 0.074], [0.667, 0.333, 0.576]]
}

(2)
{
  "formula": "Re3SnH",
  "functional": "PBE",
  "state": "relaxed",
  "density_g_cm3": 9.696,
  "e_tot_ev_per_atom": -5.30,
  "de_polymorph_kcal_per_mol_atoms": 69.58,
  "space_group": "Pm-3m (221)",
  "magnetic_moment_mub_per_atom": 0.001,
  "lattice_angstrom": [[4.879, 0.000, 0.000], [0.000, 4.879, 0.000], [0.000, 0.000, 4.879]],
  "species": ["Re", "Re", "Re", "Sn", "H"],
  "fractional_positions": [[0.000, 0.000, 0.500], [0.000, 0.500, 0.000], [0.500, 0.000, 0.000], [0.000, 0.000, 0.000], [0.500, 0.500, 0.500]]
}

(3)
{
  "formula": "NdSm2HoMg",
  "functional": "PBE",
  "state": "relaxed",
  "density_g_cm3": 6.669,
  "e_form_ev_per_atom": 0.018,
  "e_tot_ev_per_atom": -4.06,
  "space_group": "P2_1/m (11)",
  "magnetic_moment_mub_per_atom": 0.000,
  "lattice_angstrom": [[6.205, 0.000, 0.000], [0.000, 5.665, 0.000], [-3.048, 0.000, 8.983]],
  "species": ["Nd", "Nd", "Sm", "Sm", "Sm", "Sm", "Ho", "Ho", "Mg", "Mg"],
  "fractional_positions": [[0.035, 0.250, 0.389], [0.965, 0.750, 0.611], [0.376, 0.750, 0.392], [0.452, 0.250, 0.201], [0.548, 0.750, 0.799], [0.624, 0.250, 0.608], [0.163, 0.750, 0.997], [0.837, 0.250, 0.003], [0.227, 0.250, 0.809], [0.773, 0.750, 0.191]]
}

(4)
{
  "formula": "CsOs2Pt",
  "functional": "PBE",
  "state": "relaxed",
  "density_g_cm3": 16.024,
  "e_form_ev_per_atom": 2.126,
  "e_tot_ev_per_atom": -5.21,
  "space_group": "Fm-3m (225)",
  "magnetic_moment_mub_per_atom": 0.276,
  "lattice_angstrom": [[0.000, 3.323, 3.323], [3.323, 0.000, 3.323], [3.323, 3.323, 0.000]],
  "species": ["Cs", "Os", "Os", "Pt"],
  "fractional_positions": [[0.000, 0.000, 0.000], [0.250, 0.250, 0.250], [0.750, 0.750, 0.750], [0.500, 0.500, 0.500]]
}

(5)
{
  "formula": "Tm8Bi2Te",
  "functional": "PBE",
  "state": "relaxed",
  "density_g_cm3": 9.550,
  "e_form_raw_kj_per_mol_atoms": -42.9,
  "e_tot_ev_per_atom": -4.69,
  "space_group": "C2/m (12)",
  "magnetic_moment_mub_per_atom": 0.033,
  "lattice_angstrom": [[8.999, -2.014, 0.000], [8.999, 2.014, 0.000], [-0.677, 0.000, 9.099]],
  "species": ["Tm", "Tm", "Tm", "Tm", "Tm", "Tm", "Tm", "Tm", "Bi", "Bi", "Te"],
  "fractional_positions": [[0.021, 0.021, 0.249], [0.210, 0.210, 0.360], [0.334, 0.334, 0.961], [0.407, 0.407, 0.458], [0.593, 0.593, 0.542], [0.666, 0.666, 0.039], [0.790, 0.790, 0.640], [0.979, 0.979, 0.751], [0.172, 0.172, 0.777], [0.828, 0.828, 0.223], [0.500, 0.500, 0.000]]
}

(6)
{
  "formula": "Pm2Ho2ErTm2",
  "functional": "PBE",
  "state": "relaxed",
  "density_g_cm3": 8.302,
  "e_form_ev_per_atom": 0.087,
  "e_tot_ev_per_atom": -4.51,
  "space_group": "C2/m (12)",
  "magnetic_moment_mub_per_atom": 0.000,
  "lattice_angstrom": [[5.815, -1.747, 0.000], [5.815, 1.747, 0.000], [-3.866, 0.000, 11.075]],
  "species": ["Pm", "Pm", "Ho", "Ho", "Er", "Tm", "Tm"],
  "fractional_positions": [[0.171, 0.171, 0.085], [0.829, 0.829, 0.915], [0.050, 0.050, 0.769], [0.950, 0.950, 0.231], [0.500, 0.500, 0.500], [0.273, 0.273, 0.636], [0.727, 0.727, 0.364]]
}

(7)
{
  "formula": "Th3Al9Tc2",
  "functional": "PBE",
  "state": "relaxed",
  "density_g_cm3": 6.841,
  "e_form_ev_per_atom": -0.466,
  "e_tot_ev_per_atom": -5.94,
  "space_group": "Immm (71)",
  "magnetic_moment_mub_per_atom": 0.000,
  "lattice_angstrom": [[-2.226, 4.854, 6.374], [2.226, -4.854, 6.374], [2.226, 4.854, -6.374]],
  "species": ["Th", "Th", "Th", "Al", "Al", "Al", "Al", "Al", "Al", "Al", "Al", "Al", "Tc", "Tc"],
  "fractional_positions": [[0.000, 0.000, 0.000], [0.302, 0.302, 0.000], [0.698, 0.698, 0.000], [0.009, 0.652, 0.357], [0.160, 0.877, 0.283], [0.295, 0.652, 0.643], [0.406, 0.123, 0.283], [0.500, 0.000, 0.500], [0.594, 0.877, 0.717], [0.705, 0.348, 0.357], [0.840, 0.123, 0.717], [0.991, 0.348, 0.643], [0.325, 0.500, 0.825], [0.675, 0.500, 0.175]]
}

(8)
{
  "formula": "CsTi2InO6",
  "functional": "PBE",
  "state": "relaxed",
  "density_g_cm3": 4.012,
  "e_form_raw_kj_per_mol_atoms": -233.4,
  "e_tot_ev_per_atom": -7.33,
  "space_group": "C2/c (15)",
  "magnetic_moment_mub_per_atom": 0.000,
  "lattice_angstrom": [[4.697, -6.369, 0.000], [4.697, 6.369, 0.000], [-2.187, 0.000, 6.081]],
  "species": ["Cs", "Cs", "Ti", "Ti", "Ti", "Ti", "In", "In", "O", "O", "O", "O", "O", "O", "O", "O", "O", "O", "O", "O"],
  "fractional_positions": [[0.102, 0.898, 0.750], [0.898, 0.102, 0.250], [0.289, 0.436, 0.852], [0.436, 0.289, 0.352], [0.564, 0.711, 0.648], [0.711, 0.564, 0.148], [0.217, 0.783, 0.250], [0.783, 0.217, 0.750], [0.057, 0.267, 0.752], [0.241, 0.640, 0.965], [0.267, 0.057, 0.252], [0.355, 0.404, 0.573], [0.360, 0.759, 0.535], [0.404, 0.355, 0.073], [0.596, 0.645, 0.927], [0.640, 0.241, 0.465], [0.645, 0.596, 0.427], [0.733, 0.943, 0.748], [0.759, 0.360, 0.035], [0.943, 0.733, 0.248]]
}

(9)
{
  "formula": "Tm7Tl2Pb2",
  "functional": "PBE",
  "state": "relaxed",
  "density_g_cm3": 9.753,
  "e_form_ev_per_atom": -0.018,
  "e_tot_ev_per_atom": -3.97,
  "space_group": "Cmmm (65)",
  "magnetic_moment_mub_per_atom": 0.000,
  "lattice_angstrom": [[3.990, -5.509, 0.000], [3.990, 5.509, 0.000], [0.000, 0.000, 7.769]],
  "species": ["Tm", "Tm", "Tm", "Tm", "Tm", "Tm", "Tm", "Tl", "Tl", "Pb", "Pb"],
  "fractional_positions": [[0.000, 0.000, 0.000], [0.000, 0.500, 0.289], [0.000, 0.500, 0.711], [0.500, 0.000, 0.289], [0.500, 0.000, 0.711], [0.500, 0.500, 0.270], [0.500, 0.500, 0.730], [0.183, 0.183, 0.500], [0.817, 0.817, 0.500], [0.295, 0.705, 0.000], [0.705, 0.295, 0.000]]
}

(10)
{
  "formula": "K2InGe",
  "functional": "PBE",
  "state": "relaxed",
  "density_g_cm3": 3.238,
  "e_form_ev_per_atom": 0.209,
  "e_tot_ev_per_atom": -2.18,
  "de_polymorph_kcal_per_mol_atoms": 6.88,
  "space_group": "Fm-3m (225)",
  "magnetic_moment_mub_per_atom": 0.201,
  "lattice_angstrom": [[0.000, 4.084, 4.084], [4.084, 0.000, 4.084], [4.084, 4.084, 0.000]],
  "species": ["K", "K", "In", "Ge"],
  "fractional_positions": [[0.250, 0.250, 0.250], [0.750, 0.750, 0.750], [0.000, 0.000, 0.000], [0.500, 0.500, 0.500]]
}

(11)
{
  "formula": "RbCaIn2",
  "functional": "PBE",
  "state": "relaxed",
  "density_g_cm3": 3.778,
  "e_form_ev_per_atom": 0.151,
  "e_tot_ev_per_atom": -1.96,
  "de_polymorph_kcal_per_mol_atoms": 7.80,
  "space_group": "I-42d (122)",
  "magnetic_moment_mub_per_atom": 0.000,
  "lattice_angstrom": [[-4.696, 4.696, 3.539], [4.696, -4.696, 3.539], [4.696, 4.696, -3.539]],
  "species": ["Rb", "Rb", "Ca", "Ca", "In", "In", "In", "In"],
  "fractional_positions": [[0.000, 0.000, 0.000], [0.750, 0.250, 0.500], [0.250, 0.750, 0.500], [0.500, 0.500, 0.000], [0.157, 0.625, 0.032], [0.375, 0.407, 0.532], [0.593, 0.125, 0.968], [0.875, 0.843, 0.468]]
}

(12)
{
  "formula": "NaTmPb",
  "functional": "PBE",
  "state": "relaxed",
  "density_g_cm3": 6.620,
  "e_form_ev_per_atom": -0.118,
  "e_tot_ev_per_atom": -3.28,
  "space_group": "R-3m (166)",
  "magnetic_moment_mub_per_atom": 0.000,
  "lattice_angstrom": [[2.565, 1.481, 8.784], [-2.565, 1.481, 8.784], [0.000, -2.962, 8.784]],
  "species": ["Na", "Na", "Tm", "Tm", "Pb", "Pb"],
  "fractional_positions": [[0.131, 0.131, 0.131], [0.869, 0.869, 0.869], [0.290, 0.290, 0.290], [0.710, 0.710, 0.710], [0.412, 0.412, 0.412], [0.588, 0.588, 0.588]]
}